(1)
Material: ErScCd17
Method: DFT, PBE
State: optimized geometry

Values from the calculation:
Formation enthalpy at 0 K: -0.052 eV per atom

Cell: 10.0105 10.0105 15.0261 Å, 90.00 90.00 120.00°
Space group R3m (No. 160, hexagonal axes)
Inequivalent atoms, fractional coordinates:
1 Er 0.0000 0.0000 0.0000 x3
2 Sc 0.0000 0.0000 0.6364 x3
3 Cd 0.0000 0.0000 0.2245 x3
4 Cd 0.0000 0.0000 0.4118 x3
5 Cd 0.0000 0.3158 0.3187 x18
6 Cd 0.1855 0.3710 0.8018 x9
7 Cd 0.1866 0.3732 0.1592 x9
8 Cd 0.2136 0.4273 0.4923 x9

(2)
Material: AcNd14Y
Method: DFT, PBE
State: optimized geometry

Values from the calculation:
Formation enthalpy at 0 K: 0.036 eV per atom

Cell: 11.9953 7.4413 12.9049 Å, 90.00 90.00 90.00°
Space group Amm2 (No. 38)
Inequivalent atoms, fractional coordinates:
1 Ac 0.0000 0.0000 0.0000 x2
2 Nd 0.0000 0.2479 0.7507 x4
3 Nd 0.2482 0.0000 0.3337 x4
4 Nd 0.2516 0.2487 0.5845 x8
5 Nd 0.2533 0.0000 0.8331 x4
6 Nd 0.5000 0.0000 0.0009 x2
7 Nd 0.5000 0.0000 0.5001 x2
8 Nd 0.5000 0.2495 0.2505 x4
9 Y 0.0000 0.0000 0.5016 x2

(3)
Material: ZrSbCl
Method: DFT, PBE
State: optimized geometry

Values from the calculation:
Offset from the most stable computed form: 394 meV/atom
Formation energy (no corrections): -0.524 eV/atom

Cell: 6.8708 6.8708 6.8708 Å, 90.00 90.00 90.00°
Space group F-43m (No. 216)
Inequivalent atoms, fractional coordinates:
1 Zr 0.0000 0.0000 0.0000 x4
2 Sb 0.2500 0.2500 0.7500 x4
3 Cl 0.2500 0.2500 0.2500 x4

(4)
Material: Cs4LiMo2
Method: DFT, PBE
State: optimized geometry

Values from the calculation:
Formation enthalpy at 0 K: 1.062 eV per atom

Cell: 7.7116 7.7116 18.1698 Å, 90.00 90.00 90.00°
Space group I4/mmm (No. 139)
Inequivalent atoms, fractional coordinates:
1 Cs 0.0000 0.0000 0.2203 x4
2 Cs 0.0000 0.5000 0.0000 x4
3 Li 0.0000 0.0000 0.0000 x2
4 Mo 0.0000 0.0000 0.4452 x4

(5)
Material: ZnFe2Au
Method: DFT, PBE
State: optimized geometry

Values from the calculation:
Formation enthalpy at 0 K: 0.104 eV per atom

Cell: 2.6912 2.6912 7.5943 Å, 90.00 90.00 90.00°
Space group P4mm (No. 99)
Inequivalent atoms, fractional coordinates:
1 Zn 0.0000 0.0000 0.0000 x1
2 Fe 0.0000 0.0000 0.5555 x1
3 Fe 0.5000 0.5000 0.7654 x1
4 Au 0.5000 0.5000 0.2844 x1

(6)
Material: Pu2Be3ReSi4
Method: DFT, PBE
State: optimized geometry

Values from the calculation:
Formation energy (no corrections): -0.292 eV/atom

Cell: 3.8997 3.8997 9.8681 Å, 90.00 90.00 90.00°
Space group P-4m2 (No. 115)
Inequivalent atoms, fractional coordinates:
1 Pu 0.0000 0.5000 0.2355 x2
2 Be 0.0000 0.5000 0.8737 x2
3 Be 0.5000 0.5000 0.5000 x1
4 Re 0.0000 0.0000 0.5000 x1
5 Si 0.0000 0.0000 0.0000 x1
6 Si 0.0000 0.5000 0.6444 x2
7 Si 0.5000 0.5000 0.0000 x1

(7)
Material: Tb4Pr2Dy
Method: DFT, PBE
State: optimized geometry

Values from the calculation:
Formation enthalpy at 0 K: 0.184 eV per atom
Offset from the most stable computed form: 0 meV/atom

Cell: 11.4696 11.4696 3.6460 Å, 90.00 90.00 90.00°
Space group P4/nmm (No. 129, origin choice 2)
Inequivalent atoms, fractional coordinates:
1 Tb 0.0332 0.7500 0.0026 x8
2 Pr 0.0000 0.0000 0.5000 x4
3 Dy 0.2500 0.2500 0.4967 x2

(8)
Material: PrErRe
Method: DFT, PBE
State: optimized geometry

Values from the calculation:
Formation enthalpy at 0 K: 0.084 eV per atom

Cell: 3.2203 3.2203 14.6274 Å, 90.00 90.00 90.00°
Space group P4/nmm (No. 129, origin choice 2)
Inequivalent atoms, fractional coordinates:
1 Pr 0.2500 0.2500 0.0986 x2
2 Er 0.2500 0.2500 0.6853 x2
3 Re 0.2500 0.2500 0.4533 x2